1.
Material: La7Mo
Method: DFT, PBE
State: relaxed

abc: 7.1220 7.1220 7.1220
angles: 60.00 60.00 60.00
Sites, in units of the cell vectors:
La  0.0000  0.0000  0.0000
La  0.0000  0.0000  0.5000
La  0.0000  0.5000  0.0000
La  0.0000  0.5000  0.5000
La  0.5000  0.0000  0.0000
La  0.5000  0.0000  0.5000
La  0.5000  0.5000  0.0000
Mo  0.5000  0.5000  0.5000


2.
Material: La2Mo
Method: DFT, PBE
State: relaxed

abc: 8.2792 8.2792 4.1515
angles: 90.00 90.00 120.00
Sites, in units of the cell vectors:
La  0.0000  0.2778  0.0000
La  0.0000  0.6092  0.5000
La  0.2778  0.0000  0.0000
La  0.3908  0.3908  0.5000
La  0.6092  0.0000  0.5000
La  0.7222  0.7222  0.0000
Mo  0.0000  0.0000  0.5000
Mo  0.3333  0.6667  0.0000
Mo  0.6667  0.3333  0.0000

Summary:
As for the energy above the most stable polymorph in this dataset: 195 meV/atom.


| no. | final energy (eV/cell) | ΔE_f (eV per atom) | D(E_F) (states/eV/cell) |
| --- | --- | --- | --- |
| 1 | -42.9 | 0.299 | 13.72 |
| 2 | -58.2 | 0.423 | 10.34 |